{
  "formula": "Mg7In2Sn2",
  "functional": "PBE",
  "state": "relaxed",
  "lattice_angstrom": [[0.291, -6.202, -0.511], [5.155, -0.254, 6.007], [-4.454, 1.934, 3.903]],
  "species": ["Mg", "Mg", "Mg", "Mg", "Mg", "Mg", "Mg", "In", "In", "Sn", "Sn"],
  "fractional_positions": [[0.000, 0.304, 0.500], [0.500, 0.696, 0.000], [0.000, 0.696, 0.500], [0.500, 0.304, 0.000], [0.000, 0.000, 0.000], [0.500, 0.786, 0.500], [0.500, 0.214, 0.500], [0.728, 0.000, 0.272], [0.272, 0.000, 0.728], [0.784, 0.500, 0.784], [0.216, 0.500, 0.216]],
  "dft_energy_ev_per_cell": -25.0,
  "total_magnetization_mub_per_fu": 0.000
}

{
  "formula": "Tm3Al12Ni",
  "functional": "PBE",
  "state": "relaxed",
  "lattice_angstrom": [[4.158, 0.000, 0.000], [0.000, 4.158, 0.000], [0.000, 0.000, 16.339]],
  "species": ["Tm", "Tm", "Tm", "Al", "Al", "Al", "Al", "Al", "Al", "Al", "Al", "Al", "Al", "Al", "Al", "Ni"],
  "fractional_positions": [[0.000, 0.000, 0.239], [0.000, 0.000, 0.500], [0.000, 0.000, 0.761], [0.500, 0.500, 0.000], [0.500, 0.500, 0.239], [0.500, 0.500, 0.500], [0.500, 0.500, 0.761], [0.500, 0.000, 0.104], [0.500, 0.000, 0.369], [0.500, 0.000, 0.631], [0.500, 0.000, 0.896], [0.000, 0.500, 0.104], [0.000, 0.500, 0.369], [0.000, 0.500, 0.631], [0.000, 0.500, 0.896], [0.000, 0.000, 0.000]],
  "dft_energy_ev_per_cell": -69.6,
  "total_magnetization_mub_per_fu": 0.000
}

{
  "formula": "CuRe2Mo",
  "functional": "PBE",
  "state": "relaxed",
  "lattice_angstrom": [[-1.687, -3.055, 1.678], [3.321, -0.841, 1.806], [-1.056, 2.217, 2.975]],
  "species": ["Cu", "Mo", "Re", "Re"],
  "fractional_positions": [[0.500, 0.000, 0.500], [0.000, 0.500, 0.500], [0.000, 0.000, 0.000], [0.500, 0.500, 0.000]],
  "dft_energy_ev_per_cell": -39.0,
  "total_magnetization_mub_per_fu": 0.000
}

{
  "formula": "Ac2PrPd",
  "functional": "PBE",
  "state": "relaxed",
  "lattice_angstrom": [[-1.255, -2.772, -2.710], [6.813, -0.514, 0.431], [-1.016, -7.039, 7.673]],
  "species": ["Ac", "Ac", "Ac", "Ac", "Pr", "Pr", "Pd", "Pd"],
  "fractional_positions": [[0.364, 0.728, 0.563], [0.636, 0.272, 0.437], [0.364, 0.728, 0.937], [0.636, 0.272, 0.063], [0.916, 0.832, 0.250], [0.084, 0.168, 0.750], [0.766, 0.531, 0.750], [0.234, 0.469, 0.250]],
  "dft_energy_ev_per_cell": -39.4,
  "total_magnetization_mub_per_fu": 0.000
}

{
  "formula": "Re3Mo3W4",
  "functional": "PBE",
  "state": "relaxed",
  "lattice_angstrom": [[-1.506, -0.841, 2.377], [0.041, -7.096, -2.485], [6.454, -1.242, 3.650]],
  "species": ["Re", "Re", "Re", "Mo", "Mo", "Mo", "W", "W", "W", "W"],
  "fractional_positions": [[0.500, 0.848, 0.152], [0.500, 0.348, 0.348], [0.500, 0.652, 0.652], [0.000, 0.502, 0.002], [0.000, 0.998, 0.498], [0.500, 0.154, 0.846], [0.000, 0.648, 0.352], [0.000, 0.353, 0.647], [0.000, 0.850, 0.853], [0.000, 0.147, 0.150]],
  "dft_energy_ev_per_cell": -116.8,
  "total_magnetization_mub_per_fu": 0.000
}

{
  "formula": "AcUSe4",
  "functional": "PBE",
  "state": "relaxed",
  "lattice_angstrom": [[-0.340, -5.291, 4.096], [6.398, -1.457, -1.351], [2.255, 4.427, 5.905]],
  "species": ["Ac", "Ac", "U", "U", "Se", "Se", "Se", "Se", "Se", "Se", "Se", "Se"],
  "fractional_positions": [[0.000, 0.000, 0.500], [0.500, 0.500, 0.500], [0.500, 0.500, 0.000], [0.000, 0.000, 0.000], [0.252, 0.752, 0.774], [0.752, 0.748, 0.774], [0.748, 0.248, 0.774], [0.752, 0.748, 0.226], [0.248, 0.252, 0.774], [0.252, 0.752, 0.226], [0.248, 0.252, 0.226], [0.748, 0.248, 0.226]],
  "e_form_raw_ev_per_atom": -1.20,
  "total_magnetization_mub_per_fu": 1.678
}

{
  "formula": "La3Al2In",
  "functional": "PBE",
  "state": "relaxed",
  "lattice_angstrom": [[5.449, 0.000, 0.000], [-2.724, 4.719, 0.000], [0.000, 0.000, 13.388]],
  "species": ["La", "La", "La", "La", "La", "La", "Al", "Al", "Al", "Al", "In", "In"],
  "fractional_positions": [[0.333, 0.667, 0.416], [0.667, 0.333, 0.078], [0.000, 0.000, 0.757], [0.000, 0.000, 0.243], [0.333, 0.667, 0.922], [0.667, 0.333, 0.584], [0.000, 0.000, 0.500], [0.333, 0.667, 0.168], [0.667, 0.333, 0.832], [0.000, 0.000, 0.000], [0.333, 0.667, 0.669], [0.667, 0.333, 0.331]],
  "dft_energy_ev_per_cell": -54.8,
  "total_magnetization_mub_per_fu": 0.000
}

{
  "formula": "DyEr2Tm5In",
  "functional": "PBE",
  "state": "relaxed",
  "lattice_angstrom": [[-2.686, -0.800, -4.461], [1.779, -9.481, 3.741], [-8.863, 0.413, 5.261]],
  "species": ["Dy", "Dy", "Er", "Er", "Er", "Er", "Tm", "Tm", "Tm", "Tm", "Tm", "Tm", "Tm", "Tm", "Tm", "Tm", "In", "In"],
  "fractional_positions": [[0.792, 0.584, 0.508], [0.208, 0.416, 0.008], [0.884, 0.768, 0.796], [0.116, 0.233, 0.721], [0.116, 0.232, 0.296], [0.884, 0.767, 0.221], [0.382, 0.764, 0.008], [0.712, 0.423, 0.809], [0.500, 0.000, 0.758], [0.289, 0.577, 0.707], [0.990, 0.981, 0.508], [0.618, 0.236, 0.508], [0.288, 0.577, 0.309], [0.500, 0.000, 0.258], [0.711, 0.423, 0.207], [0.010, 0.019, 0.008], [0.596, 0.192, 0.008], [0.404, 0.808, 0.508]],
  "dft_energy_ev_per_cell": -77.6,
  "total_magnetization_mub_per_fu": 0.000
}

{
  "formula": "Nb6SN",
  "functional": "PBE",
  "state": "relaxed",
  "lattice_angstrom": [[-2.882, -0.850, -4.643], [-2.476, -4.515, -0.446], [-5.889, 0.324, 0.869]],
  "species": ["Nb", "Nb", "Nb", "Nb", "Nb", "Nb", "S", "N"],
  "fractional_positions": [[0.113, 0.423, 0.701], [0.741, 0.040, 0.727], [0.578, 0.289, 0.230], [0.259, 0.960, 0.273], [0.887, 0.577, 0.299], [0.422, 0.711, 0.770], [0.000, 0.000, 0.000], [0.500, 0.500, 0.500]],
  "e_form_raw_ev_per_atom": -0.43,
  "total_magnetization_mub_per_fu": 0.000
}

{
  "formula": "AcAg2Sb2",
  "functional": "PBE",
  "state": "relaxed",
  "lattice_angstrom": [[-1.242, 2.058, -3.931], [-4.171, 0.768, 1.720], [4.561, 10.106, 6.550]],
  "species": ["Ac", "Ac", "Ag", "Ag", "Ag", "Ag", "Sb", "Sb", "Sb", "Sb"],
  "fractional_positions": [[0.353, 0.250, 0.707], [0.647, 0.750, 0.293], [0.035, 0.750, 0.070], [0.464, 0.750, 0.929], [0.965, 0.250, 0.930], [0.536, 0.250, 0.071], [0.750, 0.250, 0.500], [0.250, 0.750, 0.500], [0.896, 0.750, 0.792], [0.104, 0.250, 0.208]],
  "e_form_raw_ev_per_atom": -0.53,
  "total_magnetization_mub_per_fu": 0.000
}

{
  "formula": "SnIrOsC",
  "functional": "PBE",
  "state": "relaxed",
  "lattice_angstrom": [[2.862, 0.008, -0.005], [1.380, 3.655, 0.006], [0.035, 0.328, 6.150]],
  "species": ["C", "Ir", "Os", "Sn"],
  "fractional_positions": [[0.979, 0.437, 0.809], [0.261, 0.867, 0.859], [0.545, 0.313, 0.578], [0.235, 0.919, 0.285]],
  "dft_energy_ev_per_cell": -31.2,
  "total_magnetization_mub_per_fu": 0.000
}

{
  "formula": "HgOs2Cl",
  "functional": "PBE",
  "state": "relaxed",
  "lattice_angstrom": [[-2.269, 0.504, -1.564], [-2.778, -2.713, 3.154], [-0.916, 3.968, 2.607]],
  "species": ["Cl", "Hg", "Os", "Os"],
  "fractional_positions": [[0.500, 0.000, 0.500], [0.000, 0.500, 0.500], [0.000, 0.000, 0.000], [0.500, 0.500, 0.000]],
  "e_form_raw_ev_per_atom": 1.19,
  "total_magnetization_mub_per_fu": 0.560
}

{
  "formula": "Hf8Fe2Ni",
  "functional": "PBE",
  "state": "relaxed",
  "lattice_angstrom": [[5.057, -0.166, -0.249], [-1.065, 7.034, -0.426], [-1.065, -3.102, 6.327]],
  "species": ["Hf", "Hf", "Hf", "Hf", "Hf", "Hf", "Hf", "Hf", "Fe", "Fe", "Ni"],
  "fractional_positions": [[0.920, 0.908, 0.661], [0.920, 0.661, 0.908], [0.321, 0.624, 0.624], [0.500, 0.777, 0.223], [0.500, 0.223, 0.777], [0.679, 0.376, 0.376], [0.080, 0.339, 0.092], [0.080, 0.092, 0.339], [0.000, 0.293, 0.707], [0.000, 0.707, 0.293], [0.500, 0.000, 0.000]],
  "dft_energy_ev_per_cell": -102.5,
  "total_magnetization_mub_per_fu": 0.000
}